1.
A geometry-optimized Ca2Tb3Tl4 structure. Source: Alexandria, functional PBE.

Unit cell a=9.180 b=9.180 c=9.184 alpha=90.00 beta=90.00 gamma=133.12
Fractional coordinates of all 18 atoms:
Ca (0.110, 0.890, 0.923)
Ca (0.390, 0.610, 0.423)
Ca (0.610, 0.390, 0.577)
Ca (0.890, 0.110, 0.077)
Tb (0.000, 0.000, 0.500)
Tb (0.034, 0.466, 0.750)
Tb (0.466, 0.034, 0.250)
Tb (0.500, 0.500, 0.000)
Tb (0.534, 0.966, 0.750)
Tb (0.966, 0.534, 0.250)
Tl (0.187, 0.813, 0.536)
Tl (0.216, 0.284, 0.750)
Tl (0.284, 0.216, 0.250)
Tl (0.313, 0.687, 0.036)
Tl (0.687, 0.313, 0.964)
Tl (0.716, 0.784, 0.750)
Tl (0.784, 0.716, 0.250)
Tl (0.813, 0.187, 0.464)

Results
Formation enthalpy at 0 K, eV/atom: -0.2227
N(E_F), states/eV per atom: 0.92
E, Ry per atom: -0.240
Crystal system: orthorhombic

***

2.
A geometry-optimized CaTb2Tl2 structure. Source: Alexandria, functional PBE.

Unit cell a=14.404 b=14.404 c=5.446 alpha=90.00 beta=90.00 gamma=164.90
Fractional coordinates of all 10 atoms:
Ca (0.147, 0.853, 0.750)
Ca (0.853, 0.147, 0.250)
Tb (0.050, 0.950, 0.250)
Tb (0.234, 0.766, 0.250)
Tb (0.766, 0.234, 0.750)
Tb (0.950, 0.050, 0.750)
Tl (0.356, 0.644, 0.750)
Tl (0.453, 0.547, 0.250)
Tl (0.547, 0.453, 0.750)
Tl (0.644, 0.356, 0.250)

Results
Formation enthalpy at 0 K, eV/atom: -0.3016
N(E_F), states/eV per atom: 0.79
E, Ry per atom: -0.257
Crystal system: orthorhombic

***

3.
A geometry-optimized CaTb5Tl3 structure. Source: Alexandria, functional PBE.

Unit cell a=9.409 b=9.409 c=6.795 alpha=90.00 beta=90.00 gamma=120.00
Fractional coordinates of all 18 atoms:
Ca (0.000, 0.000, 0.000)
Ca (0.000, 0.000, 0.500)
Tb (0.000, 0.336, 0.250)
Tb (0.000, 0.664, 0.750)
Tb (0.333, 0.667, 0.000)
Tb (0.333, 0.667, 0.500)
Tb (0.336, 0.000, 0.250)
Tb (0.336, 0.336, 0.750)
Tb (0.664, 0.000, 0.750)
Tb (0.664, 0.664, 0.250)
Tb (0.667, 0.333, 0.000)
Tb (0.667, 0.333, 0.500)
Tl (0.000, 0.331, 0.750)
Tl (0.000, 0.669, 0.250)
Tl (0.331, 0.000, 0.750)
Tl (0.331, 0.331, 0.250)
Tl (0.669, 0.000, 0.250)
Tl (0.669, 0.669, 0.750)

Results
Formation enthalpy at 0 K, eV/atom: -0.2878
N(E_F), states/eV per atom: 0.92
E, Ry per atom: -0.285
Crystal system: hexagonal

***

4.
A geometry-optimized Ca2TbTl structure. Source: Alexandria, functional PBE.

Unit cell a=4.868 b=4.868 c=5.247 alpha=90.00 beta=90.00 gamma=90.00
Fractional coordinates of all 4 atoms:
Ca (0.000, 0.500, 0.000)
Ca (0.500, 0.000, 0.000)
Tb (0.000, 0.000, 0.500)
Tl (0.500, 0.500, 0.500)

Results
Offset from the most stable computed form, meV per atom: 0
Formation enthalpy at 0 K, eV/atom: -0.1741
N(E_F), states/eV per atom: 0.30
E, Ry per atom: -0.215
Crystal system: tetragonal

***

5.
A geometry-optimized Ca3TbTl4 structure. Source: Alexandria, functional PBE.

Unit cell a=3.836 b=3.836 c=15.715 alpha=90.00 beta=90.00 gamma=90.00
Fractional coordinates of all 8 atoms:
Ca (0.000, 0.000, 0.000)
Ca (0.000, 0.000, 0.252)
Ca (0.000, 0.000, 0.748)
Tb (0.000, 0.000, 0.500)
Tl (0.500, 0.500, 0.127)
Tl (0.500, 0.500, 0.378)
Tl (0.500, 0.500, 0.622)
Tl (0.500, 0.500, 0.873)

Results
Formation enthalpy at 0 K, eV/atom: -0.4185
N(E_F), states/eV per atom: 0.74
E, Ry per atom: -0.215
Crystal system: tetragonal

***

6.
A geometry-optimized CaTb8Tl6 structure. Source: Alexandria, functional PBE.

Unit cell a=8.357 b=8.357 c=8.357 alpha=66.97 beta=66.97 gamma=66.97
Fractional coordinates of all 15 atoms:
Ca (0.000, 0.000, 0.000)
Tb (0.107, 0.777, 0.438)
Tb (0.223, 0.562, 0.893)
Tb (0.333, 0.333, 0.333)
Tb (0.438, 0.107, 0.777)
Tb (0.562, 0.893, 0.223)
Tb (0.667, 0.667, 0.667)
Tb (0.777, 0.438, 0.107)
Tb (0.893, 0.223, 0.562)
Tl (0.064, 0.400, 0.727)
Tl (0.273, 0.936, 0.600)
Tl (0.400, 0.727, 0.064)
Tl (0.600, 0.273, 0.936)
Tl (0.727, 0.064, 0.400)
Tl (0.936, 0.600, 0.273)

Results
Formation enthalpy at 0 K, eV/atom: -0.1523
N(E_F), states/eV per atom: 1.34
E, Ry per atom: -0.272
Crystal system: trigonal

***

7.
A geometry-optimized CaTb5Tl4 structure. Source: Alexandria, functional PBE.

Unit cell a=7.524 b=10.484 c=8.612 alpha=90.00 beta=90.00 gamma=90.00
Fractional coordinates of all 20 atoms:
Ca (0.250, 0.250, 0.222)
Ca (0.750, 0.750, 0.778)
Tb (0.004, 0.049, 0.714)
Tb (0.004, 0.451, 0.714)
Tb (0.250, 0.750, 0.874)
Tb (0.496, 0.049, 0.714)
Tb (0.496, 0.451, 0.714)
Tb (0.504, 0.549, 0.286)
Tb (0.504, 0.951, 0.286)
Tb (0.750, 0.250, 0.126)
Tb (0.996, 0.549, 0.286)
Tb (0.996, 0.951, 0.286)
Tl (0.046, 0.750, 0.544)
Tl (0.250, 0.021, 0.005)
Tl (0.250, 0.479, 0.005)
Tl (0.454, 0.750, 0.544)
Tl (0.546, 0.250, 0.456)
Tl (0.750, 0.521, 0.995)
Tl (0.750, 0.979, 0.995)
Tl (0.954, 0.250, 0.456)

Results
Formation enthalpy at 0 K, eV/atom: 0.0120
N(E_F), states/eV per atom: 0.99
E, Ry per atom: -0.254
Crystal system: orthorhombic

***

8.
A geometry-optimized CaTb3Tl4 structure. Source: Alexandria, functional PBE.

Unit cell a=3.830 b=3.830 c=15.254 alpha=90.00 beta=90.00 gamma=90.00
Fractional coordinates of all 8 atoms:
Ca (0.000, 0.000, 0.000)
Tb (0.000, 0.000, 0.252)
Tb (0.000, 0.000, 0.500)
Tb (0.000, 0.000, 0.748)
Tl (0.500, 0.500, 0.130)
Tl (0.500, 0.500, 0.378)
Tl (0.500, 0.500, 0.622)
Tl (0.500, 0.500, 0.870)

Results
Formation enthalpy at 0 K, eV/atom: -0.3788
N(E_F), states/eV per atom: 0.48
E, Ry per atom: -0.261
Crystal system: tetragonal

***

9.
A geometry-optimized Ca3TbTl12 structure. Source: Alexandria, functional PBE.

Unit cell a=4.868 b=4.868 c=19.132 alpha=90.00 beta=90.00 gamma=90.00
Fractional coordinates of all 16 atoms:
Ca (0.000, 0.000, 0.000)
Ca (0.000, 0.000, 0.253)
Ca (0.000, 0.000, 0.747)
Tb (0.000, 0.000, 0.500)
Tl (0.000, 0.500, 0.126)
Tl (0.000, 0.500, 0.378)
Tl (0.000, 0.500, 0.622)
Tl (0.000, 0.500, 0.874)
Tl (0.500, 0.000, 0.126)
Tl (0.500, 0.000, 0.378)
Tl (0.500, 0.000, 0.622)
Tl (0.500, 0.000, 0.874)
Tl (0.500, 0.500, 0.000)
Tl (0.500, 0.500, 0.251)
Tl (0.500, 0.500, 0.500)
Tl (0.500, 0.500, 0.749)

Results
Formation enthalpy at 0 K, eV/atom: -0.2326
N(E_F), states/eV per atom: 0.58
E, Ry per atom: -0.196
Crystal system: tetragonal

***

10.
A geometry-optimized Ca2Tb2Tl7 structure. Source: Alexandria, functional PBE.

Unit cell a=6.952 b=6.952 c=8.368 alpha=90.00 beta=90.00 gamma=118.22
Fractional coordinates of all 11 atoms:
Ca (0.246, 0.246, 0.000)
Ca (0.754, 0.754, 0.000)
Tb (0.263, 0.737, 0.500)
Tb (0.737, 0.263, 0.500)
Tl (0.000, 0.000, 0.500)
Tl (0.000, 0.500, 0.185)
Tl (0.000, 0.500, 0.815)
Tl (0.500, 0.000, 0.185)
Tl (0.500, 0.000, 0.815)
Tl (0.500, 0.500, 0.314)
Tl (0.500, 0.500, 0.686)

Results
Formation enthalpy at 0 K, eV/atom: -0.0482
N(E_F), states/eV per atom: 0.62
E, Ry per atom: -0.203
Crystal system: orthorhombic

***

11.
A geometry-optimized CaTb5Tl8 structure. Source: Alexandria, functional PBE.

Unit cell a=8.080 b=8.080 c=8.080 alpha=109.36 beta=109.36 gamma=109.69
Fractional coordinates of all 14 atoms:
Ca (0.000, 0.000, 0.000)
Tb (0.163, 0.508, 0.901)
Tb (0.250, 0.750, 0.500)
Tb (0.492, 0.393, 0.655)
Tb (0.607, 0.262, 0.099)
Tb (0.738, 0.837, 0.345)
Tl (0.012, 0.282, 0.408)
Tl (0.180, 0.102, 0.719)
Tl (0.383, 0.461, 0.281)
Tl (0.396, 0.988, 0.270)
Tl (0.539, 0.820, 0.922)
Tl (0.718, 0.126, 0.730)
Tl (0.874, 0.604, 0.592)
Tl (0.898, 0.617, 0.078)

Results
Formation enthalpy at 0 K, eV/atom: -0.2594
N(E_F), states/eV per atom: 0.70
E, Ry per atom: -0.250
Crystal system: tetragonal

***

12.
A geometry-optimized Ca2Tb2Tl3 structure. Source: Alexandria, functional PBE.

Unit cell a=5.304 b=5.304 c=9.468 alpha=106.21 beta=106.21 gamma=60.09
Fractional coordinates of all 7 atoms:
Ca (0.128, 0.128, 0.385)
Ca (0.872, 0.872, 0.615)
Tb (0.378, 0.378, 0.135)
Tb (0.622, 0.622, 0.865)
Tl (0.000, 0.000, 0.000)
Tl (0.250, 0.250, 0.751)
Tl (0.750, 0.750, 0.249)

Results
Formation enthalpy at 0 K, eV/atom: -0.2891
N(E_F), states/eV per atom: 0.75
E, Ry per atom: -0.235
Crystal system: monoclinic

***

13.
A geometry-optimized Ca4TbTl5 structure. Source: Alexandria, functional PBE.

Unit cell a=3.878 b=3.878 c=19.273 alpha=90.00 beta=90.00 gamma=90.00
Fractional coordinates of all 10 atoms:
Ca (0.000, 0.000, 0.101)
Ca (0.000, 0.000, 0.301)
Ca (0.000, 0.000, 0.699)
Ca (0.000, 0.000, 0.899)
Tb (0.000, 0.000, 0.500)
Tl (0.500, 0.500, 0.000)
Tl (0.500, 0.500, 0.201)
Tl (0.500, 0.500, 0.404)
Tl (0.500, 0.500, 0.596)
Tl (0.500, 0.500, 0.799)

Results
Formation enthalpy at 0 K, eV/atom: -0.4233
N(E_F), states/eV per atom: 0.61
E, Ry per atom: -0.211
Crystal system: tetragonal

***

14.
A geometry-optimized CaTbTl2 structure. Source: Alexandria, functional PBE.

Unit cell a=10.130 b=10.130 c=10.130 alpha=21.55 beta=21.55 gamma=21.55
Fractional coordinates of all 4 atoms:
Ca (0.000, 0.000, 0.000)
Tb (0.168, 0.168, 0.168)
Tl (0.583, 0.583, 0.583)
Tl (0.752, 0.752, 0.752)

Results
Formation enthalpy at 0 K, eV/atom: -0.2435
N(E_F), states/eV per atom: 0.92
E, Ry per atom: -0.227
Crystal system: trigonal

***

15.
A geometry-optimized CaTbTm2Tl4 structure. Source: Alexandria, functional PBE.

Unit cell a=9.326 b=9.326 c=9.326 alpha=33.43 beta=33.43 gamma=33.43
Fractional coordinates of all 8 atoms:
Ca (0.000, 0.000, 0.000)
Tb (0.500, 0.500, 0.500)
Tm (0.252, 0.252, 0.252)
Tm (0.748, 0.748, 0.748)
Tl (0.126, 0.126, 0.126)
Tl (0.376, 0.376, 0.376)
Tl (0.624, 0.624, 0.624)
Tl (0.874, 0.874, 0.874)

Results
Formation enthalpy at 0 K, eV/atom: -0.3377
N(E_F), states/eV per atom: 0.63
E, Ry per atom: -0.255
Crystal system: trigonal

***

16.
A geometry-optimized CaTb2YTl4 structure. Source: Alexandria, functional PBE.

Unit cell a=9.387 b=9.387 c=9.387 alpha=33.45 beta=33.45 gamma=33.45
Fractional coordinates of all 8 atoms:
Ca (0.000, 0.000, 0.000)
Tb (0.252, 0.252, 0.252)
Tb (0.748, 0.748, 0.748)
Y (0.500, 0.500, 0.500)
Tl (0.126, 0.126, 0.126)
Tl (0.377, 0.377, 0.377)
Tl (0.623, 0.623, 0.623)
Tl (0.874, 0.874, 0.874)

Results
Formation enthalpy at 0 K, eV/atom: -0.3711
N(E_F), states/eV per atom: 0.71
E, Ry per atom: -0.277
Crystal system: trigonal

***

17.
A geometry-optimized CaTbTlZn structure. Source: Alexandria, functional PBE.

Unit cell a=5.287 b=5.287 c=5.287 alpha=60.00 beta=60.00 gamma=60.00
Fractional coordinates of all 4 atoms:
Ca (0.000, 0.000, 0.000)
Tb (0.500, 0.500, 0.500)
Tl (0.750, 0.750, 0.750)
Zn (0.250, 0.250, 0.250)

Results
Offset from the most stable computed form, meV per atom: 5
Formation enthalpy at 0 K, eV/atom: -0.3448
N(E_F), states/eV per atom: 0.43
E, Ry per atom: -0.214
Crystal system: cubic

***

18.
A geometry-optimized CaTbTlZn structure. Source: Alexandria, functional PBE.

Unit cell a=3.700 b=3.700 c=7.644 alpha=90.00 beta=90.00 gamma=90.00
Fractional coordinates of all 4 atoms:
Ca (0.000, 0.000, 0.000)
Tb (0.000, 0.000, 0.463)
Tl (0.500, 0.500, 0.727)
Zn (0.500, 0.500, 0.247)

Results
Offset from the most stable computed form, meV per atom: 0
Formation enthalpy at 0 K, eV/atom: -0.3498
N(E_F), states/eV per atom: 0.59
E, Ry per atom: -0.214
Crystal system: tetragonal

***

19.
A geometry-optimized CaTbTm structure. Source: Alexandria, functional PBE.

Unit cell a=3.661 b=6.797 c=8.825 alpha=75.75 beta=89.99 gamma=74.41
Fractional coordinates of all 6 atoms:
Ca (0.138, 0.226, 0.032)
Ca (0.862, 0.774, 0.968)
Tb (0.193, 0.112, 0.623)
Tb (0.807, 0.888, 0.377)
Tm (0.476, 0.547, 0.678)
Tm (0.524, 0.453, 0.322)

Results
Offset from the most stable computed form, meV per atom: 0
Formation enthalpy at 0 K, eV/atom: 0.0665
N(E_F), states/eV per atom: 1.44
E, Ry per atom: -0.267
Crystal system: triclinic

***

20.
A geometry-optimized CaTbTm structure. Source: Alexandria, functional PBE.

Unit cell a=8.167 b=8.167 c=8.167 alpha=154.41 beta=154.41 gamma=36.50
Fractional coordinates of all 3 atoms:
Ca (0.000, 0.000, 0.000)
Tb (0.322, 0.322, 0.000)
Tm (0.675, 0.675, 0.000)

Results
Offset from the most stable computed form, meV per atom: 8
Formation enthalpy at 0 K, eV/atom: 0.0742
N(E_F), states/eV per atom: 1.55
E, Ry per atom: -0.267
Crystal system: tetragonal